# 1
Ce2Cl2F3: relaxed, PBE.

Geometry as POSCAR:
```
Ce2Cl2F3
1.0
10.5173 0.0000 0.0000
0.0000 3.9364 0.0000
-3.0564 0.0000 6.5469
Ce Cl F
4 4 6
Direct
0.1543 0.0000 0.2226
0.3457 0.5000 0.7774
0.6543 0.5000 0.2226
0.8457 0.0000 0.7774
0.1350 0.0000 0.7918
0.3650 0.5000 0.2082
0.6350 0.5000 0.7918
0.8650 0.0000 0.2082
0.0000 0.5000 0.0000
0.1579 0.5000 0.4242
0.3421 0.0000 0.5758
0.5000 0.0000 0.0000
0.6579 0.0000 0.4242
0.8421 0.5000 0.5758
```

Output
* E_form (uncorrected): -3.094 eV per atom
* E_tot: -6.119 eV per atom

# 2
Tb7NdAl4: relaxed, PBE.

Geometry as POSCAR:
```
Tb7NdAl4
1.0
6.9665 -2.7659 0.0000
6.9665 2.7659 0.0000
-5.9303 0.0000 8.6391
Tb Nd Al
7 1 4
Direct
0.0000 0.0000 0.0000
0.2025 0.2025 0.6447
0.2896 0.2896 0.1229
0.4342 0.4342 0.6099
0.5658 0.5658 0.3901
0.7104 0.7104 0.8771
0.7975 0.7975 0.3553
0.5000 0.5000 0.0000
0.0537 0.0537 0.7617
0.1767 0.1767 0.3318
0.8233 0.8233 0.6682
0.9463 0.9463 0.2383
```

Output
* energy of formation: -0.0616 eV per atom
* E_tot: -4.407 eV per atom

# 3
Pm6Sb5Se: relaxed, PBE.

Geometry as POSCAR:
```
Pm6Sb5Se
1.0
3.8553 -6.6700 0.0000
3.8553 6.6700 0.0000
-2.5682 0.0000 7.2656
Pm Sb Se
6 5 1
Direct
0.0820 0.4104 0.7465
0.2452 0.2452 0.2502
0.4104 0.0820 0.7465
0.5896 0.9180 0.2535
0.7548 0.7548 0.7498
0.9180 0.5896 0.2535
0.1690 0.8310 0.0000
0.3337 0.6663 0.5000
0.5000 0.5000 0.0000
0.6663 0.3337 0.5000
0.8310 0.1690 0.0000
0.0000 0.0000 0.5000
```

Output
* E_form (uncorrected): -1.309 eV per atom
* E_tot: -5.693 eV per atom

# 4
Sr3Pa2O8: relaxed, PBE.

Geometry as POSCAR:
```
Sr3Pa2O8
1.0
3.2963 1.9031 6.6451
-3.2963 1.9031 6.6451
0.0000 -3.8063 6.6451
Sr Pa O
3 2 8
Direct
0.0000 0.0000 0.0000
0.1811 0.1811 0.1811
0.8189 0.8189 0.8189
0.4020 0.4020 0.4020
0.5980 0.5980 0.5980
0.2196 0.7449 0.7449
0.2551 0.2551 0.7804
0.2551 0.7804 0.2551
0.3009 0.3009 0.3009
0.6991 0.6991 0.6991
0.7449 0.2196 0.7449
0.7449 0.7449 0.2196
0.7804 0.2551 0.2551
```

Output
* E_form (uncorrected): -3.008 eV per atom
* E_tot: -7.909 eV per atom

# 5
AgSe: relaxed, PBE.

Geometry as POSCAR:
```
AgSe
1.0
3.9876 0.0000 0.0000
0.0000 10.2444 0.0000
0.0000 0.0000 8.0871
Ag Se
6 6
Direct
0.0000 0.0000 0.0000
0.0000 0.1573 0.3841
0.0000 0.8427 0.3841
0.5000 0.3427 0.8841
0.5000 0.5000 0.5000
0.5000 0.6573 0.8841
0.0000 0.2430 0.0438
0.0000 0.5000 0.7724
0.0000 0.7570 0.0438
0.5000 0.0000 0.2724
0.5000 0.2570 0.5438
0.5000 0.7430 0.5438
```

Output
* E_form (uncorrected): 0.088 eV per atom
* E_tot: -3.079 eV per atom

# 6
LiLa2Sb4Pt3: relaxed, PBE.

Geometry as POSCAR:
```
LiLa2Sb4Pt3
1.0
4.6424 0.0000 0.0000
0.0000 4.6424 0.0000
0.0000 0.0000 10.8335
Li La Sb Pt
1 2 4 3
Direct
0.0000 0.0000 0.0000
0.0000 0.5000 0.7565
0.5000 0.0000 0.2435
0.0000 0.0000 0.5000
0.0000 0.5000 0.1302
0.5000 0.0000 0.8698
0.5000 0.5000 0.5000
0.0000 0.5000 0.3735
0.5000 0.0000 0.6265
0.5000 0.5000 0.0000
```

Output
* E_form (uncorrected): -0.906 eV per atom
* E_tot: -5.545 eV per atom

# 7
InAgW2: relaxed, PBE.

Geometry as POSCAR:
```
InAgW2
1.0
3.3701 0.0000 0.0000
0.0000 4.7575 0.0000
0.0000 0.0000 9.0022
In Ag W
2 2 4
Direct
0.0000 0.0000 0.0000
0.5000 0.5000 0.5000
0.0000 0.5000 0.2463
0.5000 0.0000 0.7463
0.0000 0.0000 0.4803
0.0000 0.5000 0.7708
0.5000 0.0000 0.2708
0.5000 0.5000 0.9803
```

Output
* energy of formation: 0.6014 eV per atom
* E_tot: -7.273 eV per atom

# 8
RbPuMnSe3: relaxed, PBE.

Geometry as POSCAR:
```
RbPuMnSe3
1.0
9.3492 0.0000 0.0000
0.0000 4.2635 0.0000
-3.2071 0.0000 9.4974
Rb Pu Mn Se
2 2 2 6
Direct
0.2092 0.2500 0.2391
0.7908 0.7500 0.7609
0.3260 0.7500 0.8516
0.6740 0.2500 0.1484
0.0871 0.2500 0.6086
0.9129 0.7500 0.3914
0.1182 0.2500 0.8635
0.1998 0.7500 0.5376
0.4683 0.7500 0.1517
0.5317 0.2500 0.8483
0.8002 0.2500 0.4624
0.8818 0.7500 0.1365
```

Output
* E_form (uncorrected): -1.116 eV per atom
* E_tot: -6.936 eV per atom

# 9
Tl2WAu: relaxed, PBE.

Geometry as POSCAR:
```
Tl2WAu
1.0
3.0696 0.0000 0.0000
0.0000 5.4980 0.0000
0.0000 0.0000 9.9667
Tl W Au
4 2 2
Direct
0.0000 0.0000 0.2478
0.0000 0.0000 0.7522
0.5000 0.5000 0.2478
0.5000 0.5000 0.7522
0.0000 0.5000 0.0000
0.5000 0.0000 0.0000
0.0000 0.5000 0.5000
0.5000 0.0000 0.5000
```

Output
* energy of formation: 0.7399 eV per atom
* E above lowest polymorph: 16.12 kJ/mol of atoms
* E_tot: -4.501 eV per atom

# 10
AcTmSe: relaxed, PBE.

Geometry as POSCAR:
```
AcTmSe
1.0
3.9200 0.0000 0.0000
-1.9600 3.3948 0.0000
0.0000 0.0000 14.2139
Ac Tm Se
2 2 2
Direct
0.0000 0.0000 0.0000
0.3333 0.6667 0.5000
0.3333 0.6667 0.2127
0.3333 0.6667 0.7873
0.0000 0.0000 0.3393
0.0000 0.0000 0.6607
```

Output
* E_form (uncorrected): -1.004 eV per atom
* E above lowest polymorph: 1.08 kJ/mol of atoms
* E_tot: -5.026 eV per atom

# 11
PmLuBePt: relaxed, PBE.

Geometry as POSCAR:
```
PmLuBePt
1.0
6.9597 0.0000 0.0000
0.0000 6.9597 0.0000
0.0000 0.0000 6.9597
Pm Lu Be Pt
4 4 4 4
Direct
0.0000 0.0000 0.0000
0.0000 0.5000 0.5000
0.5000 0.0000 0.5000
0.5000 0.5000 0.0000
0.0000 0.0000 0.5000
0.0000 0.5000 0.0000
0.5000 0.0000 0.0000
0.5000 0.5000 0.5000
0.2500 0.2500 0.7500
0.2500 0.7500 0.2500
0.7500 0.2500 0.2500
0.7500 0.7500 0.7500
0.2500 0.2500 0.2500
0.2500 0.7500 0.7500
0.7500 0.2500 0.7500
0.7500 0.7500 0.2500
```

Output
* energy of formation: -0.5052 eV per atom
* E_tot: -5.265 eV per atom

# 12
TbThSc2Sb4: relaxed, PBE.

Geometry as POSCAR:
```
TbThSc2Sb4
1.0
7.4325 0.0000 0.0000
0.0000 4.3328 0.0000
-2.5140 0.0000 7.0506
Tb Th Sc Sb
1 1 2 4
Direct
0.0000 0.0000 0.0000
0.0000 0.5000 0.5000
0.5000 0.0000 0.5000
0.5000 0.5000 0.0000
0.2686 0.5000 0.2527
0.2720 0.0000 0.7612
0.7280 0.0000 0.2388
0.7314 0.5000 0.7473
```

Output
* E_form (uncorrected): -0.987 eV per atom
* E_tot: -6.138 eV per atom

# 13
La4Nd8Dy: relaxed, PBE.

Geometry as POSCAR:
```
La4Nd8Dy
1.0
5.9534 3.4372 3.9402
-5.9534 3.4372 3.9402
0.0000 -6.8744 3.9402
La Nd Dy
4 8 1
Direct
0.0000 0.0000 0.0000
0.0000 0.5000 0.5000
0.5000 0.0000 0.5000
0.5000 0.5000 0.0000
0.1636 0.1636 0.6680
0.1636 0.6679 0.1636
0.2401 0.2401 0.2401
0.3320 0.8364 0.8364
0.6680 0.1636 0.1636
0.7599 0.7599 0.7599
0.8364 0.3320 0.8364
0.8364 0.8364 0.3321
0.5000 0.5000 0.5000
```

Output
* energy of formation: 0.3619 eV per atom
* E_tot: -4.442 eV per atom

# 14
MgReTe2: relaxed, PBE.

Geometry as POSCAR:
```
MgReTe2
1.0
4.2379 0.0000 0.0000
0.0000 4.2379 0.0000
0.0000 0.0000 9.3536
Mg Re Te
2 2 4
Direct
0.0000 0.0000 0.0000
0.5000 0.5000 0.5000
0.0000 0.5000 0.7500
0.5000 0.0000 0.2500
0.0000 0.0000 0.5000
0.0000 0.5000 0.2500
0.5000 0.0000 0.7500
0.5000 0.5000 0.0000
```

Output
* E_form (uncorrected): 0.698 eV per atom
* E_tot: -4.384 eV per atom

# 15
La2InGa: relaxed, PBE.

Geometry as POSCAR:
```
La2InGa
1.0
3.8376 0.0000 0.0000
0.0000 3.8376 0.0000
0.0000 0.0000 7.8384
La In Ga
2 1 1
Direct
0.0000 0.0000 0.2349
0.0000 0.0000 0.7651
0.5000 0.5000 0.5000
0.5000 0.5000 0.0000
```

Output
* energy of formation: -0.5410 eV per atom
* E above lowest polymorph: 0.00 kJ/mol of atoms
* E_tot: -4.446 eV per atom

# 16
NaYZr: relaxed, PBE.

Geometry as POSCAR:
```
NaYZr
1.0
13.2909 0.0000 0.0000
0.0000 5.3518 0.0000
0.0000 0.0000 5.3534
Na Y Zr
4 4 4
Direct
0.1019 0.2500 0.0000
0.1019 0.7500 0.5000
0.8981 0.2500 0.5000
0.8981 0.7500 0.0000
0.3044 0.2500 0.4966
0.3044 0.7500 0.9966
0.6956 0.2500 0.9966
0.6956 0.7500 0.4966
0.4518 0.2500 0.9961
0.4518 0.7500 0.4961
0.5482 0.2500 0.4961
0.5482 0.7500 0.9961
```

Output
* energy of formation: 0.1002 eV per atom
* E above lowest polymorph: 0.55 kJ/mol of atoms
* E_tot: -5.344 eV per atom

# 17
FeCl3: relaxed, PBE.

Geometry as POSCAR:
```
FeCl3
1.0
6.4788 0.0000 0.0000
0.0000 6.4788 0.0000
0.0000 0.0000 8.9271
Fe Cl
4 12
Direct
0.0000 0.0000 0.0000
0.0000 0.5000 0.2500
0.5000 0.0000 0.7500
0.5000 0.5000 0.5000
0.0000 0.0000 0.5000
0.0000 0.5000 0.7500
0.1241 0.2500 0.1250
0.2500 0.6241 0.3750
0.2500 0.8759 0.8750
0.3759 0.2500 0.6250
0.5000 0.0000 0.2500
0.5000 0.5000 0.0000
0.6241 0.7500 0.6250
0.7500 0.1241 0.8750
0.7500 0.3759 0.3750
0.8759 0.7500 0.1250
```

Output
* E_form (uncorrected): -0.021 eV per atom
* E_tot: -3.521 eV per atom

# 18
SmDy2ScS6: relaxed, PBE.

Geometry as POSCAR:
```
SmDy2ScS6
1.0
3.4263 1.9782 6.1152
-3.4263 1.9782 6.1152
0.0000 -3.9564 6.1152
Sm Dy Sc S
1 2 1 6
Direct
0.0000 0.0000 0.0000
0.2933 0.2933 0.2933
0.7981 0.7981 0.7981
0.4931 0.4931 0.4931
0.1050 0.6873 0.4045
0.2165 0.5948 0.8765
0.4045 0.1050 0.6873
0.5948 0.8765 0.2165
0.6873 0.4045 0.1050
0.8765 0.2165 0.5948
```

Output
* E_form (uncorrected): -1.994 eV per atom
* E_tot: -6.496 eV per atom

# 19
CsLaGeS4: relaxed, PBE.

Geometry as POSCAR:
```
CsLaGeS4
1.0
6.7382 0.0000 0.0000
0.0000 6.8406 0.0000
-2.9117 0.0000 9.1503
Cs La Ge S
2 2 2 8
Direct
0.2312 0.2500 0.4360
0.7688 0.7500 0.5640
0.2669 0.2500 0.9505
0.7331 0.7500 0.0495
0.2843 0.7500 0.1681
0.7157 0.2500 0.8319
0.0880 0.7500 0.3154
0.0877 0.7500 0.9348
0.4970 0.5041 0.7982
0.4970 0.9959 0.7982
0.5030 0.0041 0.2018
0.5030 0.4959 0.2018
0.9123 0.2500 0.0652
0.9120 0.2500 0.6846
```

Output
* E_form (uncorrected): -1.336 eV per atom
* E_tot: -5.180 eV per atom

# 20
KY2Ag: relaxed, PBE.

Geometry as POSCAR:
```
KY2Ag
1.0
14.0998 0.0000 0.0000
0.0000 3.4582 0.0000
-2.5541 0.0000 5.4385
K Y Ag
2 4 2
Direct
0.0000 0.0000 0.0000
0.5000 0.5000 0.0000
0.2021 0.0000 0.7022
0.2979 0.5000 0.2978
0.7021 0.5000 0.7022
0.7979 0.0000 0.2978
0.0000 0.5000 0.5000
0.5000 0.0000 0.5000
```

Output
* energy of formation: 0.2074 eV per atom
* E_tot: -4.012 eV per atom